The following is a PBE+U calculation of crystalline MnInO2 at its relaxed geometry, from Alexandria via LeMat-Bulk.

Output
- V: 53.7 Å³/f.u.
- Electronic total energy: -6.249 eV per atom

Cell lengths 6.7783, 6.7783, 6.7783 Å; angles 26.24, 26.24, 26.24 degrees
Closest atoms and distances in Å follow each position.
Fractional positions:
Mn: 0.5000 0.5000 0.5000  6 O 2.05
O: 0.8858 0.8858 0.8858  3 Mn 2.05, 1 In 2.24
O: 0.1142 0.1142 0.1142  3 Mn 2.05, 1 In 2.24
In: 0.0000 0.0000 0.0000  2 O 2.24